Record 1
Material: LiSbP2O7
Method: DFT, PBE-GGA
State: optimized geometry Values from VASP.

Cell and atoms, written as Quantum ESPRESSO input:
```
&SYSTEM
  ibrav = 0, nat = 44, ntyp = 4
/
ATOMIC_SPECIES
Li 6.94 Li.upf
Sb 121.76 Sb.upf
P 30.97 P.upf
O 16.00 O.upf
ATOMIC_POSITIONS crystal
Li 0.083 0.237 0.203
Li 0.083 0.263 0.703
Li 0.917 0.737 0.297
Li 0.917 0.763 0.797
Sb 0.248 0.244 0.965
Sb 0.248 0.256 0.465
Sb 0.752 0.744 0.535
Sb 0.752 0.756 0.035
P 0.186 0.736 0.107
P 0.186 0.764 0.607
P 0.298 0.739 0.825
P 0.298 0.761 0.325
P 0.702 0.239 0.675
P 0.702 0.261 0.175
P 0.814 0.236 0.393
P 0.814 0.264 0.893
O 0.019 0.622 0.602
O 0.019 0.878 0.102
O 0.142 0.564 0.819
O 0.142 0.936 0.319
O 0.162 0.064 0.594
O 0.162 0.436 0.094
O 0.251 0.036 0.828
O 0.251 0.464 0.328
O 0.264 0.640 0.535
O 0.264 0.860 0.035
O 0.322 0.701 0.717
O 0.322 0.799 0.217
O 0.464 0.654 0.904
O 0.464 0.846 0.404
O 0.536 0.154 0.596
O 0.536 0.346 0.096
O 0.678 0.201 0.783
O 0.678 0.299 0.283
O 0.736 0.140 0.965
O 0.736 0.360 0.465
O 0.749 0.536 0.672
O 0.749 0.964 0.172
O 0.838 0.564 0.906
O 0.838 0.936 0.406
O 0.858 0.064 0.681
O 0.858 0.436 0.181
O 0.981 0.122 0.898
O 0.981 0.378 0.398
CELL_PARAMETERS angstrom
8.359 0.000 0.000
0.000 5.047 0.000
-5.209 0.000 13.341
```

Values from the calculation:
- calculated volume (Å³ per atom) = 12.791
- energy relative to the elements, uncorrected (eV/atom) = -2.038
- total DFT energy (no corrections) (eV per cell) = -295.9
- density (Mg/m³) = 3.57

***

Record 2
Material: LiSbP2O7
Method: DFT, PBE-GGA
State: optimized geometry Values from VASP.

Cell and atoms, written as Quantum ESPRESSO input:
```
&SYSTEM
  ibrav = 0, nat = 22, ntyp = 4
/
ATOMIC_SPECIES
Li 6.94 Li.upf
Sb 121.76 Sb.upf
P 30.97 P.upf
O 16.00 O.upf
ATOMIC_POSITIONS crystal
Li 0.187 0.108 0.428
Li 0.813 0.892 0.572
Sb 0.296 0.390 0.759
Sb 0.704 0.610 0.241
P 0.164 0.719 0.281
P 0.387 0.840 0.818
P 0.613 0.160 0.182
P 0.836 0.281 0.719
O 0.013 0.587 0.243
O 0.073 0.877 0.376
O 0.253 0.687 0.787
O 0.294 0.848 0.054
O 0.321 0.555 0.415
O 0.353 0.070 0.660
O 0.398 0.240 0.167
O 0.602 0.760 0.833
O 0.647 0.930 0.340
O 0.679 0.445 0.585
O 0.706 0.152 0.946
O 0.747 0.313 0.213
O 0.927 0.123 0.624
O 0.987 0.413 0.757
CELL_PARAMETERS angstrom
6.809 0.000 0.000
0.708 6.772 0.000
1.225 2.677 6.201
```

Values from the calculation:
- calculated volume (Å³ per atom) = 12.997
- energy relative to the elements, uncorrected (eV/atom) = -2.032
- total DFT energy (no corrections) (eV per cell) = -147.8
- density (Mg/m³) = 3.52

***

Record 3
Material: LiSbP4O12
Method: DFT, PBE-GGA
State: optimized geometry Values from VASP.

Cell and atoms, written as Quantum ESPRESSO input:
```
&SYSTEM
  ibrav = 0, nat = 36, ntyp = 4
/
ATOMIC_SPECIES
Li 6.94 Li.upf
Sb 121.76 Sb.upf
P 30.97 P.upf
O 16.00 O.upf
ATOMIC_POSITIONS crystal
Li 0.000 0.000 0.000
Li 0.000 0.000 0.500
Sb 0.298 0.702 0.750
Sb 0.702 0.298 0.250
P 0.036 0.654 0.888
P 0.298 0.428 0.342
P 0.346 0.964 0.612
P 0.428 0.298 0.842
P 0.572 0.702 0.158
P 0.654 0.036 0.388
P 0.702 0.572 0.658
P 0.964 0.346 0.112
O 0.027 0.714 0.766
O 0.030 0.797 0.051
O 0.139 0.394 0.178
O 0.194 0.601 0.470
O 0.203 0.970 0.449
O 0.229 0.430 0.897
O 0.286 0.973 0.734
O 0.394 0.139 0.678
O 0.399 0.806 0.030
O 0.420 0.451 0.297
O 0.430 0.229 0.397
O 0.451 0.420 0.797
O 0.549 0.580 0.203
O 0.570 0.771 0.603
O 0.580 0.549 0.703
O 0.601 0.194 0.970
O 0.606 0.861 0.322
O 0.714 0.027 0.266
O 0.771 0.570 0.103
O 0.797 0.030 0.551
O 0.806 0.399 0.530
O 0.861 0.606 0.822
O 0.970 0.203 0.949
O 0.973 0.286 0.234
CELL_PARAMETERS angstrom
8.108 -3.840 0.000
8.108 3.840 0.000
-5.477 0.000 8.290
```

Values from the calculation:
- calculated volume (Å³ per atom) = 14.341
- energy relative to the elements, uncorrected (eV/atom) = -1.996
- total DFT energy (no corrections) (eV per cell) = -246.2
- density (Mg/m³) = 2.86
- energy relative to the lowest polymorph listed for this composition (meV per atom) = 57

***

Record 4
Material: LiSn3SbP6O24
Method: DFT, PBE-GGA
State: optimized geometry Values from VASP.

Cell and atoms, written as Quantum ESPRESSO input:
```
&SYSTEM
  ibrav = 0, nat = 35, ntyp = 5
/
ATOMIC_SPECIES
Li 6.94 Li.upf
Sn 118.71 Sn.upf
Sb 121.76 Sb.upf
P 30.97 P.upf
O 16.00 O.upf
ATOMIC_POSITIONS crystal
Li 0.000 0.000 0.000
Sn 0.131 0.131 0.131
Sn 0.337 0.337 0.337
Sn 0.840 0.840 0.840
Sb 0.633 0.633 0.633
P 0.018 0.739 0.442
P 0.236 0.527 0.944
P 0.442 0.018 0.739
P 0.527 0.944 0.236
P 0.739 0.442 0.018
P 0.944 0.236 0.527
O 0.086 0.880 0.237
O 0.101 0.729 0.863
O 0.135 0.210 0.510
O 0.161 0.534 0.467
O 0.197 0.371 0.961
O 0.210 0.510 0.135
O 0.237 0.086 0.880
O 0.371 0.961 0.197
O 0.446 0.503 0.799
O 0.462 0.822 0.764
O 0.467 0.161 0.534
O 0.503 0.799 0.446
O 0.510 0.135 0.210
O 0.534 0.467 0.161
O 0.587 0.990 0.798
O 0.729 0.863 0.101
O 0.764 0.462 0.822
O 0.798 0.587 0.990
O 0.799 0.446 0.503
O 0.822 0.764 0.462
O 0.863 0.101 0.729
O 0.880 0.237 0.086
O 0.961 0.197 0.371
O 0.990 0.798 0.587
CELL_PARAMETERS angstrom
4.254 2.456 7.579
-4.254 2.456 7.579
0.000 -4.912 7.579
```

Values from the calculation:
- calculated volume (Å³ per atom) = 13.575
- energy relative to the elements, uncorrected (eV/atom) = -1.998
- total DFT energy (no corrections) (eV per cell) = -239.4
- density (Mg/m³) = 3.69
- energy relative to the lowest polymorph listed for this composition (meV per atom) = 0

***

Record 5
Material: LiScPO4
Method: DFT, PBE-GGA
State: optimized geometry Values from VASP.

Cell and atoms, written as Quantum ESPRESSO input:
```
&SYSTEM
  ibrav = 0, nat = 14, ntyp = 4
/
ATOMIC_SPECIES
Li 6.94 Li.upf
Sc 44.96 Sc.upf
P 30.97 P.upf
O 16.00 O.upf
ATOMIC_POSITIONS crystal
Li 0.000 0.000 0.000
Li 0.500 0.000 0.500
Sc 0.500 0.000 0.000
Sc 0.500 0.500 0.500
P 0.133 0.383 0.750
P 0.867 0.617 0.250
O 0.190 0.726 0.464
O 0.238 0.274 0.964
O 0.240 0.265 0.526
O 0.240 0.714 0.974
O 0.760 0.286 0.026
O 0.760 0.735 0.474
O 0.762 0.726 0.036
O 0.810 0.274 0.536
CELL_PARAMETERS angstrom
-2.870 2.977 4.205
2.870 -2.977 4.205
2.870 2.977 -4.205
```

Values from the calculation:
- calculated volume (Å³ per atom) = 10.267
- energy relative to the elements, uncorrected (eV/atom) = -2.443
- total DFT energy (no corrections) (eV per cell) = -101.2
- density (Mg/m³) = 3.39

***

Record 6
Material: LiP2SeO
Method: DFT, PBE-GGA
State: optimized geometry Values from VASP.

Cell and atoms, written as Quantum ESPRESSO input:
```
&SYSTEM
  ibrav = 0, nat = 5, ntyp = 4
/
ATOMIC_SPECIES
Li 6.94 Li.upf
P 30.97 P.upf
Se 78.96 Se.upf
O 16.00 O.upf
ATOMIC_POSITIONS crystal
Li 0.000 0.000 0.000
P 0.000 0.500 0.500
P 0.500 0.000 0.500
Se 0.500 0.500 0.500
O 0.500 0.500 0.000
CELL_PARAMETERS angstrom
5.000 0.000 0.000
0.000 5.000 0.000
0.000 0.000 3.698
```

Values from the calculation:
- calculated volume (Å³ per atom) = 18.486
- energy relative to the elements, uncorrected (eV/atom) = 0.412
- total DFT energy (no corrections) (eV per cell) = -19.1
- density (Mg/m³) = 2.94
- energy relative to the lowest polymorph listed for this composition (meV per atom) = 0

***

Which of these has the highest calculated volume?
LiP2SeO